Entry 1:
# KBe4Sb (PBEsol, relaxed)
# Mass density   3.54 Mg/m³
# Size of the total moment   0.000 Bohr magnetons per cell
# ΔE_f (raw)   770 meV/atom
data_KBe4Sb
_cell_length_a 7.1724
_cell_length_b 7.1724
_cell_length_c 7.1724
_cell_angle_alpha 90.00
_cell_angle_beta 90.00
_cell_angle_gamma 90.00
_space_group_name_H-M_alt 'F -4 3 m'
_space_group_IT_number 216
_space_group_name_Hall 'F -4 2 3'
loop_
_atom_site_label
_atom_site_type_symbol
_atom_site_fract_x
_atom_site_fract_y
_atom_site_fract_z
K1 K 0.0000 0.0000 0.0000
Be1 Be 0.1293 0.1293 0.3707
Sb1 Sb 0.2500 0.2500 0.7500

---

Entry 2:
# AlTePbN2 (PBEsol, relaxed)
# Mass density   5.70 Mg/m³
# Size of the total moment   2.175 Bohr magnetons per cell
# ΔE_f (raw)   1561 meV/atom
data_AlTePbN2
_cell_length_a 4.2695
_cell_length_b 4.2695
_cell_length_c 6.2244
_cell_angle_alpha 90.00
_cell_angle_beta 90.00
_cell_angle_gamma 90.00
_space_group_name_H-M_alt 'P 4/m m m'
_space_group_IT_number 123
_space_group_name_Hall '-P 4 2'
loop_
_atom_site_label
_atom_site_type_symbol
_atom_site_fract_x
_atom_site_fract_y
_atom_site_fract_z
Al1 Al 0.0000 0.0000 0.0000
Te1 Te 0.5000 0.5000 0.0000
Pb1 Pb 0.5000 0.5000 0.5000
N1 N 0.0000 0.5000 0.5000

---

Entry 3:
# LiMgAg2 (PBEsol, relaxed)
# Mass density   6.09 Mg/m³
# Size of the total moment   0.000 Bohr magnetons per cell
# Energy relative to the elements   -136.2 meV/atom
data_LiMgAg2
_cell_length_a 4.7475
_cell_length_b 3.0001
_cell_length_c 4.9730
_cell_angle_alpha 90.00
_cell_angle_beta 108.15
_cell_angle_gamma 90.00
_space_group_name_H-M_alt 'P 1 2/m 1'
_space_group_IT_number 10
loop_
_space_group_symop_operation_xyz
'x,y,z'
'-x,-y,-z'
'-x,y,-z'
'x,-y,z'
loop_
_atom_site_label
_atom_site_type_symbol
_atom_site_fract_x
_atom_site_fract_y
_atom_site_fract_z
Li1 Li 0.0000 0.0000 0.0000
Mg1 Mg 0.0000 0.5000 0.5000
Ag1 Ag 0.5000 0.0000 0.5000
Ag2 Ag 0.5000 0.5000 0.0000

---

Entry 4:
# AlAu (PBEsol, relaxed)
# Mass density   11.39 Mg/m³
# Size of the total moment   0.000 Bohr magnetons per cell
# Energy relative to the elements   -371.3 meV/atom
data_AlAu
_cell_length_a 8.9493
_cell_length_b 3.3955
_cell_length_c 4.3844
_cell_angle_alpha 90.00
_cell_angle_beta 101.51
_cell_angle_gamma 90.00
_space_group_name_H-M_alt 'C 1 2/m 1'
_space_group_IT_number 12
loop_
_space_group_symop_operation_xyz
'x,y,z'
'-x,-y,-z'
'-x,y,-z'
'x,-y,z'
'x+1/2,y+1/2,z'
'-x+1/2,-y+1/2,-z'
'-x+1/2,y+1/2,-z'
'x+1/2,-y+1/2,z'
loop_
_atom_site_label
_atom_site_type_symbol
_atom_site_fract_x
_atom_site_fract_y
_atom_site_fract_z
Al1 Al 0.1223 0.0000 0.3322
Au1 Au 0.1163 0.5000 0.8204

---

Entry 5:
# TlPt2Au (PBEsol, relaxed)
# Mass density   19.32 Mg/m³
# Size of the total moment   0.000 Bohr magnetons per cell
# Energy relative to the elements   38.1 meV/atom
data_TlPt2Au
_cell_length_a 5.8484
_cell_length_b 7.7709
_cell_length_c 2.9945
_cell_angle_alpha 90.00
_cell_angle_beta 90.00
_cell_angle_gamma 90.00
_space_group_name_H-M_alt 'C m m m'
_space_group_IT_number 65
_space_group_name_Hall '-C 2 2'
loop_
_atom_site_label
_atom_site_type_symbol
_atom_site_fract_x
_atom_site_fract_y
_atom_site_fract_z
Tl1 Tl 0.0000 0.0000 0.0000
Pt1 Pt 0.2500 0.2500 0.5000
Au1 Au 0.0000 0.5000 0.0000

---

Entry 6:
# Ce3Ge13Os4 (PBEsol, relaxed)
# Mass density   9.70 Mg/m³
# Size of the total moment   0.000 Bohr magnetons per cell
# Energy relative to the elements   -387.0 meV/atom
data_Ce3Ge13Os4
_cell_length_a 8.9934
_cell_length_b 8.9934
_cell_length_c 8.9934
_cell_angle_alpha 90.00
_cell_angle_beta 90.00
_cell_angle_gamma 90.00
_space_group_name_H-M_alt 'P m -3 n'
_space_group_IT_number 223
_space_group_name_Hall '-P 4n 2 3'
loop_
_atom_site_label
_atom_site_type_symbol
_atom_site_fract_x
_atom_site_fract_y
_atom_site_fract_z
Ce1 Ce 0.0000 0.2500 0.5000
Ge1 Ge 0.0000 0.0000 0.0000
Ge2 Ge 0.0000 0.3045 0.1473
Os1 Os 0.2500 0.2500 0.2500

---

Entry 7:
# LaP2W (PBEsol, relaxed)
# Mass density   8.37 Mg/m³
# Size of the total moment   0.138 Bohr magnetons per cell
# Energy relative to the elements   -709.9 meV/atom
data_LaP2W
_cell_length_a 6.9675
_cell_length_b 3.6245
_cell_length_c 6.3543
_cell_angle_alpha 90.00
_cell_angle_beta 107.93
_cell_angle_gamma 90.00
_space_group_name_H-M_alt 'C 1 2/m 1'
_space_group_IT_number 12
loop_
_space_group_symop_operation_xyz
'x,y,z'
'-x,-y,-z'
'-x,y,-z'
'x,-y,z'
'x+1/2,y+1/2,z'
'-x+1/2,-y+1/2,-z'
'-x+1/2,y+1/2,-z'
'x+1/2,-y+1/2,z'
loop_
_atom_site_label
_atom_site_type_symbol
_atom_site_fract_x
_atom_site_fract_y
_atom_site_fract_z
La1 La 0.0000 0.0000 0.0000
P1 P 0.2357 0.0000 0.6927
W1 W 0.0000 0.5000 0.5000

---

Entry 8:
# ScTlRh2 (PBEsol, relaxed)
# Mass density   11.40 Mg/m³
# Size of the total moment   0.000 Bohr magnetons per cell
# Energy relative to the elements   -513.9 meV/atom
data_ScTlRh2
_cell_length_a 3.2528
_cell_length_b 3.2528
_cell_length_c 6.2644
_cell_angle_alpha 90.00
_cell_angle_beta 90.00
_cell_angle_gamma 90.00
_space_group_name_H-M_alt 'P 4/m m m'
_space_group_IT_number 123
_space_group_name_Hall '-P 4 2'
loop_
_atom_site_label
_atom_site_type_symbol
_atom_site_fract_x
_atom_site_fract_y
_atom_site_fract_z
Sc1 Sc 0.0000 0.0000 0.0000
Tl1 Tl 0.0000 0.0000 0.5000
Rh1 Rh 0.5000 0.5000 0.2414

---

Entry 9:
# FeReBr2 (PBEsol, relaxed)
# Mass density   9.36 Mg/m³
# Size of the total moment   1.022 Bohr magnetons per cell
# ΔE_f (raw)   463 meV/atom
data_FeReBr2
_cell_length_a 2.9680
_cell_length_b 2.9680
_cell_length_c 8.0910
_cell_angle_alpha 90.00
_cell_angle_beta 90.00
_cell_angle_gamma 90.00
_space_group_name_H-M_alt 'P 4 m m'
_space_group_IT_number 99
loop_
_space_group_symop_operation_xyz
'x,y,z'
'-y,x,z'
'-x,-y,z'
'y,-x,z'
'-x,y,z'
'y,x,z'
'x,-y,z'
'-y,-x,z'
loop_
_atom_site_label
_atom_site_type_symbol
_atom_site_fract_x
_atom_site_fract_y
_atom_site_fract_z
Fe1 Fe 0.0000 0.0000 0.0000
Re1 Re 0.5000 0.5000 0.1809
Br1 Br 0.0000 0.0000 0.4002
Br2 Br 0.5000 0.5000 0.7972

---

Entry 10:
# Tc5Au (PBEsol, relaxed)
# Mass density   13.25 Mg/m³
# Size of the total moment   0.000 Bohr magnetons per cell
# Energy relative to the elements   74.8 meV/atom
data_Tc5Au
_cell_length_a 4.3580
_cell_length_b 2.7578
_cell_length_c 14.3240
_cell_angle_alpha 90.00
_cell_angle_beta 90.00
_cell_angle_gamma 90.00
_space_group_name_H-M_alt 'A m m 2'
_space_group_IT_number 38
loop_
_space_group_symop_operation_xyz
'x,y,z'
'-x,-y,z'
'-x,y,z'
'x,-y,z'
'x,y+1/2,z+1/2'
'-x,-y+1/2,z+1/2'
'-x,y+1/2,z+1/2'
'x,-y+1/2,z+1/2'
loop_
_atom_site_label
_atom_site_type_symbol
_atom_site_fract_x
_atom_site_fract_y
_atom_site_fract_z
Tc1 Tc 0.0000 0.0000 0.0000
Tc2 Tc 0.0000 0.0000 0.3232
Tc3 Tc 0.0000 0.0000 0.6628
Tc4 Tc 0.5000 0.0000 0.1078
Tc5 Tc 0.5000 0.0000 0.7675
Au1 Au 0.5000 0.0000 0.4384

---

Entry 11:
# Al2CdCo2 (PBEsol, relaxed)
# Mass density   6.28 Mg/m³
# Size of the total moment   0.000 Bohr magnetons per cell
# Energy relative to the elements   150.5 meV/atom
data_Al2CdCo2
_cell_length_a 3.9586
_cell_length_b 3.9586
_cell_length_c 9.5983
_cell_angle_alpha 90.00
_cell_angle_beta 90.00
_cell_angle_gamma 90.00
_space_group_name_H-M_alt 'I 4/m m m'
_space_group_IT_number 139
_space_group_name_Hall '-I 4 2'
loop_
_atom_site_label
_atom_site_type_symbol
_atom_site_fract_x
_atom_site_fract_y
_atom_site_fract_z
Al1 Al 0.0000 0.0000 0.1320
Cd1 Cd 0.0000 0.0000 0.5000
Co1 Co 0.0000 0.5000 0.2500

---

Entry 12:
# SiPd3Ru (PBEsol, relaxed)
# Mass density   8.79 Mg/m³
# Size of the total moment   2.653 Bohr magnetons per cell
# ΔE_f (raw)   644 meV/atom
data_SiPd3Ru
_cell_length_a 4.3926
_cell_length_b 4.3926
_cell_length_c 4.3926
_cell_angle_alpha 90.00
_cell_angle_beta 90.00
_cell_angle_gamma 90.00
_space_group_name_H-M_alt 'P m -3 m'
_space_group_IT_number 221
_space_group_name_Hall '-P 4 2 3'
loop_
_atom_site_label
_atom_site_type_symbol
_atom_site_fract_x
_atom_site_fract_y
_atom_site_fract_z
Si1 Si 0.0000 0.0000 0.0000
Pd1 Pd 0.0000 0.0000 0.5000
Ru1 Ru 0.5000 0.5000 0.5000